No. 1
The following is a PBE calculation of a relaxed Pm8P3SeI4 crystal, from Alexandria.

Values from the calculation:
Formation energy (no corrections) ... -21.86 eV/f.u.
Electronic total energy ... -0.39403 Ry per atom
Calculated density ... 6.506 Mg/m³

Cell: 8.453 9.023 8.453 Å, 117.94 120.00 90.00°
Atoms (fractional coordinates):
Pm 0.235 0.688 0.952
Pm 0.235 0.688 0.471
Pm 0.271 0.313 0.542
Pm 0.717 0.688 0.952
Pm 0.283 0.312 0.048
Pm 0.729 0.687 0.458
Pm 0.765 0.312 0.529
Pm 0.765 0.312 0.048
P 0.500 0.500 0.000
P 0.500 0.500 0.500
P 0.000 0.500 0.500
Se 0.000 0.500 0.000
I 0.500 0.000 0.000
I 0.500 0.000 0.500
I 0.000 0.000 0.000
I 0.000 0.000 0.500

No. 2
The following is a PBE calculation of a relaxed Pm6P2SeI3 crystal, from Alexandria.

Values from the calculation:
Formation energy (no corrections) ... -16.39 eV/f.u.
Electronic total energy ... -0.39103 Ry per atom
Calculated density ... 6.547 Mg/m³

Cell: 7.339 7.339 7.951 Å, 98.84 98.84 119.99°
Atoms (fractional coordinates):
Pm 0.937 0.591 0.812
Pm 0.716 0.716 0.187
Pm 0.063 0.409 0.188
Pm 0.591 0.937 0.812
Pm 0.284 0.284 0.813
Pm 0.409 0.063 0.188
P 0.333 0.667 0.000
P 0.667 0.333 0.000
Se 0.000 0.000 0.000
I 0.166 0.834 0.500
I 0.834 0.166 0.500
I 0.500 0.500 0.500

No. 3
The following is a PBE calculation of a relaxed Pm6SiP2I3 crystal, from Alexandria.

Values from the calculation:
Formation energy (no corrections) ... -14.83 eV/f.u.
Electronic total energy ... -0.39337 Ry per atom
Calculated density ... 6.258 Mg/m³

Cell: 7.323 7.323 8.041 Å, 98.73 98.73 119.99°
Atoms (fractional coordinates):
Pm 0.937 0.600 0.811
Pm 0.727 0.727 0.189
Pm 0.063 0.400 0.189
Pm 0.600 0.937 0.811
Pm 0.273 0.273 0.811
Pm 0.400 0.063 0.189
Si 0.000 0.000 0.000
P 0.333 0.667 0.000
P 0.667 0.333 0.000
I 0.166 0.834 0.500
I 0.834 0.166 0.500
I 0.500 0.500 0.500

No. 4
The following is a PBE calculation of a relaxed Pm4SiPI2 crystal, from Alexandria.

Values from the calculation:
Formation energy (no corrections) ... -9.31 eV/f.u.
Electronic total energy ... -0.38814 Ry per atom
Calculated density ... 6.202 Mg/m³

Cell: 4.249 7.340 8.050 Å, 107.79 90.00 90.00°
Atoms (fractional coordinates):
Pm 0.500 0.234 0.193
Pm 0.500 0.766 0.807
Pm 0.000 0.273 0.810
Pm 0.000 0.727 0.190
Si 0.000 0.000 0.000
P 0.500 0.500 0.000
I 0.500 0.000 0.500
I 0.000 0.500 0.500

No. 5
The following is a PBE calculation of a relaxed TbPmPI crystal, from Alexandria.

Values from the calculation:
Formation energy (no corrections) ... -5.40 eV/f.u.
Electronic total energy ... -0.39952 Ry per atom
Calculated density ... 6.921 Mg/m³

Cell: 4.111 4.111 7.934 Å, 90.00 105.02 120.00°
Atoms (fractional coordinates):
Tb 0.097 0.946 0.058
Pm 0.507 0.152 0.674
P 0.310 0.553 0.879
I 0.963 0.380 0.358

No. 6
The following is a PBE calculation of a relaxed Pm6Te3P2I crystal, from Alexandria.

Values from the calculation:
Formation energy (no corrections) ... -17.07 eV/f.u.
Electronic total energy ... -0.41262 Ry per atom
Calculated density ... 6.774 Mg/m³

Cell: 4.296 8.868 9.762 Å, 102.72 102.71 90.00°
Atoms (fractional coordinates):
Pm 0.322 0.869 0.645
Pm 0.675 0.565 0.350
Pm 0.678 0.131 0.355
Pm 0.021 0.274 0.043
Pm 0.979 0.726 0.957
Pm 0.325 0.435 0.650
Te 0.500 0.500 0.000
Te 0.843 0.162 0.686
Te 0.157 0.838 0.314
P 0.828 0.659 0.656
P 0.172 0.341 0.344
I 0.500 0.000 0.000

Which of these has the highest calculated density?
TbPmPI